Record 1
VASP calculation (PBE) on crystalline HfZnCu2Ru at its relaxed geometry.

**SG**: P4/mmm (123)
**Energy of formation**: 87.5 kJ/mol of atoms

Cell: 4.550 4.551 4.550 Å, 90.00 90.00 90.00°
Fractional coordinates of all 5 atoms:
Hf  0.500  0.500  0.500
Cu  0.500  0.000  0.000
Cu  0.000  0.000  0.500
Zn  0.000  0.500  0.000
Ru  0.000  0.000  0.000



Record 2
VASP calculation (PBE) on crystalline HfCu2S at its relaxed geometry.

**SG**: I-42d (122)
**Formation energy from raw total energies**: -0.29 eV per atom

Cell: 7.152 7.152 5.629 Å, 50.56 50.56 90.00°
Fractional coordinates of all 8 atoms:
S  0.500  0.500  0.000
Cu  0.875  0.834  0.750
Hf  0.750  0.250  0.500
S  0.250  0.750  0.500
Cu  0.375  0.416  0.750
Cu  0.166  0.625  0.250
Cu  0.584  0.125  0.250
Hf  0.000  0.000  0.000



Record 3
VASP calculation (PBE) on crystalline Hf2Cu2S7 at its relaxed geometry.

**SG**: Imm2 (44)
**Formation energy from raw total energies**: -0.73 eV per atom

Cell: 3.676 8.514 8.514 Å, 51.56 77.53 77.53°
Fractional coordinates of all 11 atoms:
S  0.164  0.828  0.843
S  0.604  0.530  0.262
S  0.396  0.738  0.470
S  0.127  0.148  0.598
S  0.873  0.402  0.852
S  0.500  0.025  0.975
Cu  0.256  0.182  0.307
Hf  0.000  0.793  0.207
Cu  0.744  0.693  0.818
Hf  0.500  0.357  0.643
S  0.836  0.157  0.172



Record 4
VASP calculation (PBE) on crystalline Hf3CuS6 at its relaxed geometry.

**SG**: R-3 (148)
**Formation energy from raw total energies**: -1.20 eV per atom

Cell: 7.401 7.401 7.401 Å, 89.83 89.83 89.83°
Fractional coordinates of all 20 atoms:
Hf  0.923  0.766  0.420
Hf  0.766  0.420  0.923
Hf  0.077  0.234  0.580
S  0.819  0.466  0.593
S  0.466  0.593  0.819
S  0.689  0.083  0.899
S  0.899  0.689  0.083
Hf  0.234  0.580  0.077
S  0.311  0.917  0.101
S  0.181  0.534  0.407
Hf  0.580  0.077  0.234
S  0.534  0.407  0.181
S  0.593  0.819  0.466
S  0.083  0.899  0.689
S  0.407  0.181  0.534
Cu  0.500  0.500  0.500
S  0.917  0.101  0.311
Hf  0.420  0.923  0.766
S  0.101  0.311  0.917
Cu  0.000  0.000  0.000



Record 5
VASP calculation (PBE) on crystalline Hf2CuS6 at its relaxed geometry.

**SG**: P4_2/mnm (136)
**Formation energy from raw total energies**: -0.79 eV per atom

Cell: 5.915 5.915 10.985 Å, 90.00 90.00 90.00°
Fractional coordinates of all 18 atoms:
S  0.295  0.295  0.500
S  0.193  0.807  0.662
S  0.795  0.205  0.000
Cu  0.500  0.500  0.000
Hf  0.000  0.000  0.838
Cu  0.000  0.000  0.500
S  0.807  0.193  0.338
Hf  0.000  0.000  0.162
S  0.693  0.693  0.162
S  0.705  0.705  0.500
S  0.205  0.795  0.000
S  0.193  0.807  0.338
S  0.693  0.693  0.838
S  0.307  0.307  0.838
S  0.807  0.193  0.662
Hf  0.500  0.500  0.662
Hf  0.500  0.500  0.338
S  0.307  0.307  0.162



Record 6
VASP calculation (PBE) on crystalline Hf2Cu2S at its relaxed geometry.

**SG**: P4/mbm (127)
**Formation energy from raw total energies**: -0.40 eV per atom

Cell: 6.685 6.685 4.026 Å, 90.00 90.00 90.00°
Fractional coordinates of all 10 atoms:
Cu  0.127  0.627  0.500
Cu  0.627  0.873  0.500
Cu  0.873  0.373  0.500
Hf  0.832  0.668  0.000
S  0.500  0.500  0.000
Hf  0.332  0.832  0.000
Cu  0.373  0.127  0.500
Hf  0.168  0.332  0.000
S  0.000  0.000  0.000
Hf  0.668  0.168  0.000



Record 7
VASP calculation (PBE) on crystalline HfCuS at its relaxed geometry.

**SG**: R-3m (166)
**Formation energy from raw total energies**: -0.67 eV per atom

Cell: 3.652 3.652 11.101 Å, 80.53 80.53 60.00°
Fractional coordinates of all 6 atoms:
Hf  0.569  0.569  0.294
S  0.723  0.723  0.832
Hf  0.431  0.431  0.706
S  0.277  0.277  0.168
Cu  0.151  0.151  0.546
Cu  0.849  0.849  0.454



Record 8
VASP calculation (PBE) on crystalline HfCu2S3 at its relaxed geometry.

**SG**: P2_1/m (11)
**Formation energy from raw total energies**: -0.82 eV per atom

Cell: 3.635 7.176 10.016 Å, 102.51 90.00 90.00°
Fractional coordinates of all 12 atoms:
Cu  0.250  0.933  0.578
S  0.750  0.738  0.486
S  0.250  0.438  0.160
Cu  0.750  0.591  0.082
S  0.250  0.262  0.514
Hf  0.250  0.754  0.296
S  0.750  0.920  0.188
S  0.750  0.562  0.840
S  0.250  0.080  0.812
Hf  0.750  0.246  0.704
Cu  0.250  0.409  0.918
Cu  0.750  0.067  0.422



Record 9
VASP calculation (PBE) on crystalline Hf2Cu4S5 at its relaxed geometry.

**SG**: R-3m (166)
**Formation energy from raw total energies**: -0.62 eV per atom

Cell: 3.713 3.713 15.848 Å, 83.27 83.27 60.00°
Fractional coordinates of all 11 atoms:
Cu  0.688  0.688  0.936
Cu  0.312  0.312  0.064
S  0.229  0.229  0.313
S  0.368  0.368  0.897
Hf  0.138  0.138  0.585
Hf  0.862  0.862  0.415
S  0.500  0.500  0.500
Cu  0.585  0.585  0.245
S  0.632  0.632  0.103
Cu  0.415  0.415  0.755
S  0.771  0.771  0.687



Record 10
VASP calculation (PBE) on crystalline HfCuS2 at its relaxed geometry.

**SG**: Fm-3m (225)
**Formation energy from raw total energies**: -0.57 eV per atom

Cell: 4.461 4.461 4.461 Å, 60.00 60.00 60.00°
Fractional coordinates of all 4 atoms:
Hf  0.500  0.500  0.500
S  0.250  0.250  0.250
S  0.750  0.750  0.750
Cu  0.000  0.000  0.000



Record 11
VASP calculation (PBE) on crystalline HfCu2S4 at its relaxed geometry.

**SG**: Cmcm (63)
**Excess energy over the best structure of this formula in the dataset**: 0 meV per atom
**Formation energy from raw total energies**: -0.65 eV per atom

Cell: 3.529 6.374 11.118 Å, 90.00 90.00 106.07°
Fractional coordinates of all 14 atoms:
S  0.500  0.000  0.500
S  0.051  0.101  0.250
S  0.796  0.592  0.118
Cu  0.876  0.752  0.935
Hf  0.395  0.791  0.250
Cu  0.876  0.752  0.565
S  0.949  0.899  0.750
S  0.204  0.408  0.882
S  0.500  0.000  0.000
S  0.796  0.592  0.382
Hf  0.605  0.209  0.750
Cu  0.124  0.248  0.435
Cu  0.124  0.248  0.065
S  0.204  0.408  0.618



Record 12
VASP calculation (PBE) on crystalline Hf2CuS at its relaxed geometry.

**SG**: I-42d (122)
**Formation energy from raw total energies**: 0.02 eV per atom

Cell: 5.691 5.691 7.050 Å, 66.20 66.20 90.00°
Fractional coordinates of all 8 atoms:
Cu  0.750  0.250  0.500
Hf  0.875  0.875  0.750
Hf  0.125  0.625  0.250
S  0.250  0.750  0.500
Cu  0.000  0.000  0.000
S  0.500  0.500  0.000
Hf  0.375  0.375  0.750
Hf  0.625  0.125  0.250



Number 1: uncorrected energy -4.83 eV per atom, magnetic moment 0.000 μB/f.u.. Number 2: uncorrected energy -5.85 eV per atom, magnetic moment 0.000 μB/f.u.. Number 3: uncorrected energy -5.91 eV per atom, magnetic moment 0.000 μB/f.u.. Number 4: uncorrected energy -7.07 eV per atom, magnetic moment 0.000 μB/f.u.. Number 5: uncorrected energy -6.21 eV per atom, magnetic moment 0.000 μB/f.u.. Number 6: uncorrected energy -6.84 eV per atom, magnetic moment 0.000 μB/f.u.. Number 7: uncorrected energy -6.73 eV per atom, magnetic moment 0.000 μB/f.u.. Number 8: uncorrected energy -5.91 eV per atom, magnetic moment 0.000 μB/f.u.. Number 9: uncorrected energy -5.79 eV per atom, magnetic moment 0.000 μB/f.u.. Number 10: uncorrected energy -6.14 eV per atom, magnetic moment 0.000 μB/f.u.. Number 11: uncorrected energy -5.60 eV per atom, magnetic moment 0.000 μB/f.u.. Number 12: uncorrected energy -7.02 eV per atom, magnetic moment 0.000 μB/f.u..